This record from Alexandria describes Th3Si2As after structural relaxation. The functional is PBE.

Cell lengths 8.5225, 6.0286, 12.8116 Å; angles 90.00, 90.00, 90.00 degrees
Space group Pnma (No. 62)
One atom of each set of equivalent atoms:
Th 0.1230 0.2500 0.0844 x4
Th 0.1249 0.2500 0.7500 x4
Th 0.1274 0.2500 0.4152 x4
Si 0.1249 0.7500 0.7488 x4
Si 0.1266 0.7500 0.0835 x4
As 0.1240 0.7500 0.4176 x4

- DFT total energy: -0.5291 Ry/atom
- E_form (uncorrected): -906 meV per atom

---

This record from Alexandria describes MgScH2Br after structural relaxation. The functional is PBE.

Cell lengths 4.1943, 4.1943, 5.7374 Å; angles 90.00, 90.00, 90.00 degrees
Space group P4/mmm (No. 123)
One atom of each set of equivalent atoms:
Mg 0.0000 0.0000 0.0000 x1
Sc 0.5000 0.5000 0.0000 x1
H 0.0000 0.5000 0.5000 x2
Br 0.0000 0.0000 0.5000 x1

- DFT total energy: -0.1774 Ry/atom

---

This record from Alexandria describes Li4Er3Tl4 after structural relaxation. The functional is PBE.

Cell lengths 3.4664, 4.8594, 30.4256 Å; angles 90.00, 90.00, 90.00 degrees
Space group Immm (No. 71)
One atom of each set of equivalent atoms:
Li 0.0000 0.0000 0.0926 x4
Li 0.0000 0.5000 0.2398 x4
Er 0.0000 0.0000 0.3561 x4
Er 0.0000 0.5000 0.5000 x2
Tl 0.0000 0.0000 0.1835 x4
Tl 0.0000 0.5000 0.0515 x4

- Excess energy over the best structure of this formula in the dataset: 0.000 eV per atom
- DFT total energy: -0.2247 Ry/atom
- Energy relative to the elements: -25 kJ/mol of atoms